Record 1
Entry from the Alexandria database: a geometry-optimized PrCF structure (PBE).

**Energy above the lowest structure with this stoichiometry**: 518 meV per atom
**Energy**: -6.675 eV per atom
**Uncorrected formation energy**: -1.384 eV/atom

```
data_PrCF
_cell_length_a 7.707
_cell_length_b 7.707
_cell_length_c 7.707
_cell_angle_alpha 154.14
_cell_angle_beta 147.30
_cell_angle_gamma 42.15
_symmetry_space_group_name_H-M 'P 1'
_symmetry_Int_Tables_number 1
_symmetry_space_group_name_Hall 'P 1'
loop_
_atom_site_label
_atom_site_type_symbol
_atom_site_fract_x
_atom_site_fract_y
_atom_site_fract_z
_atom_site_occupancy
Pr1 Pr 0.134 0.134 0.000 1
Pr2 Pr 0.866 0.866 0.000 1
C1 C 0.355 0.000 0.355 1
C2 C 0.645 0.000 0.645 1
F1 F 0.306 0.306 0.000 1
F2 F 0.694 0.694 0.000 1
```

---

Record 2
Entry from the Alexandria database: a geometry-optimized PrThCF structure (PBE).

**Energy**: -7.207 eV per atom
**Uncorrected formation energy**: -1.383 eV/atom

```
data_PrThCF
_cell_length_a 6.909
_cell_length_b 6.909
_cell_length_c 6.909
_cell_angle_alpha 30.99
_cell_angle_beta 30.99
_cell_angle_gamma 30.99
_symmetry_space_group_name_H-M 'P 1'
_symmetry_Int_Tables_number 1
_symmetry_space_group_name_Hall 'P 1'
loop_
_atom_site_label
_atom_site_type_symbol
_atom_site_fract_x
_atom_site_fract_y
_atom_site_fract_z
_atom_site_occupancy
Pr1 Pr 0.000 0.000 0.000 1
Th1 Th 0.191 0.191 0.191 1
C1 C 0.589 0.589 0.589 1
F1 F 0.762 0.762 0.762 1
```

---

Record 3
Entry from the Alexandria database: a geometry-optimized PtCF2 structure (PBE).

**Energy above the lowest structure with this stoichiometry**: 829 meV per atom
**Energy**: -3.436 eV per atom
**Uncorrected formation energy**: 1.316 eV/atom

```
data_PtCF2
_cell_length_a 5.567
_cell_length_b 5.567
_cell_length_c 5.567
_cell_angle_alpha 60.00
_cell_angle_beta 60.00
_cell_angle_gamma 60.00
_symmetry_space_group_name_H-M 'P 1'
_symmetry_Int_Tables_number 1
_symmetry_space_group_name_Hall 'P 1'
loop_
_atom_site_label
_atom_site_type_symbol
_atom_site_fract_x
_atom_site_fract_y
_atom_site_fract_z
_atom_site_occupancy
Pt1 Pt 0.125 0.125 0.125 1
Pt2 Pt 0.875 0.875 0.875 1
C1 C 0.375 0.375 0.375 1
C2 C 0.625 0.625 0.625 1
F1 F 0.000 0.500 0.500 1
F2 F 0.500 0.000 0.500 1
F3 F 0.500 0.500 0.000 1
F4 F 0.500 0.500 0.500 1
```

---

Record 4
Entry from the Alexandria database: a geometry-optimized PtCF3 structure (PBE).

**Energy above the lowest structure with this stoichiometry**: 61 meV per atom
**Energy**: -3.431 eV per atom
**Uncorrected formation energy**: 0.745 eV/atom

```
data_PtCF3
_cell_length_a 3.886
_cell_length_b 3.886
_cell_length_c 3.886
_cell_angle_alpha 90.00
_cell_angle_beta 90.00
_cell_angle_gamma 90.00
_symmetry_space_group_name_H-M 'P 1'
_symmetry_Int_Tables_number 1
_symmetry_space_group_name_Hall 'P 1'
loop_
_atom_site_label
_atom_site_type_symbol
_atom_site_fract_x
_atom_site_fract_y
_atom_site_fract_z
_atom_site_occupancy
Pt1 Pt 0.000 0.000 0.000 1
C1 C 0.500 0.500 0.500 1
F1 F 0.000 0.500 0.500 1
F2 F 0.500 0.000 0.500 1
F3 F 0.500 0.500 0.000 1
```

---

Record 5
Entry from the Alexandria database: a geometry-optimized PtCF2 structure (PBE).

**Energy above the lowest structure with this stoichiometry**: 863 meV per atom
**Energy**: -3.402 eV per atom
**Uncorrected formation energy**: 1.350 eV/atom

```
data_PtCF2
_cell_length_a 3.978
_cell_length_b 3.978
_cell_length_c 3.978
_cell_angle_alpha 60.00
_cell_angle_beta 60.00
_cell_angle_gamma 60.00
_symmetry_space_group_name_H-M 'P 1'
_symmetry_Int_Tables_number 1
_symmetry_space_group_name_Hall 'P 1'
loop_
_atom_site_label
_atom_site_type_symbol
_atom_site_fract_x
_atom_site_fract_y
_atom_site_fract_z
_atom_site_occupancy
Pt1 Pt 0.000 0.000 0.000 1
C1 C 0.500 0.500 0.500 1
F1 F 0.250 0.250 0.250 1
F2 F 0.750 0.750 0.750 1
```

---

Record 6
Entry from the Alexandria database: a geometry-optimized Pt3CF structure (PBE).

**Energy above the lowest structure with this stoichiometry**: 0 meV per atom
**Energy**: -5.505 eV per atom
**Uncorrected formation energy**: 0.339 eV/atom

```
data_Pt3CF
_cell_length_a 4.125
_cell_length_b 4.125
_cell_length_c 4.125
_cell_angle_alpha 90.00
_cell_angle_beta 90.00
_cell_angle_gamma 90.00
_symmetry_space_group_name_H-M 'P 1'
_symmetry_Int_Tables_number 1
_symmetry_space_group_name_Hall 'P 1'
loop_
_atom_site_label
_atom_site_type_symbol
_atom_site_fract_x
_atom_site_fract_y
_atom_site_fract_z
_atom_site_occupancy
Pt1 Pt 0.000 0.000 0.500 1
Pt2 Pt 0.000 0.500 0.000 1
Pt3 Pt 0.500 0.000 0.000 1
C1 C 0.000 0.000 0.000 1
F1 F 0.500 0.500 0.500 1
```

---

Record 7
Entry from the Alexandria database: a geometry-optimized PtCF2 structure (PBE).

**Energy above the lowest structure with this stoichiometry**: 287 meV per atom
**Energy**: -3.979 eV per atom
**Uncorrected formation energy**: 0.773 eV/atom

```
data_PtCF2
_cell_length_a 7.581
_cell_length_b 7.581
_cell_length_c 7.581
_cell_angle_alpha 20.54
_cell_angle_beta 20.54
_cell_angle_gamma 20.54
_symmetry_space_group_name_H-M 'P 1'
_symmetry_Int_Tables_number 1
_symmetry_space_group_name_Hall 'P 1'
loop_
_atom_site_label
_atom_site_type_symbol
_atom_site_fract_x
_atom_site_fract_y
_atom_site_fract_z
_atom_site_occupancy
Pt1 Pt 0.000 0.000 0.000 1
C1 C 0.500 0.500 0.500 1
F1 F 0.090 0.090 0.090 1
F2 F 0.910 0.910 0.910 1
```

---

Record 8
Entry from the Alexandria database: a geometry-optimized PtCF3 structure (PBE).

**Energy above the lowest structure with this stoichiometry**: 0 meV per atom
**Energy**: -3.491 eV per atom
**Uncorrected formation energy**: 0.684 eV/atom

```
data_PtCF3
_cell_length_a 4.195
_cell_length_b 4.195
_cell_length_c 4.195
_cell_angle_alpha 90.00
_cell_angle_beta 90.00
_cell_angle_gamma 90.00
_symmetry_space_group_name_H-M 'P 1'
_symmetry_Int_Tables_number 1
_symmetry_space_group_name_Hall 'P 1'
loop_
_atom_site_label
_atom_site_type_symbol
_atom_site_fract_x
_atom_site_fract_y
_atom_site_fract_z
_atom_site_occupancy
Pt1 Pt 0.000 0.000 0.000 1
C1 C 0.500 0.500 0.500 1
F1 F 0.000 0.000 0.500 1
F2 F 0.000 0.500 0.000 1
F3 F 0.500 0.000 0.000 1
```

---

Record 9
Entry from the Alexandria database: a geometry-optimized PtCF2 structure (PBE).

**Energy above the lowest structure with this stoichiometry**: 0 meV per atom
**Energy**: -4.266 eV per atom
**Uncorrected formation energy**: 0.486 eV/atom

```
data_PtCF2
_cell_length_a 10.131
_cell_length_b 10.131
_cell_length_c 10.131
_cell_angle_alpha 14.55
_cell_angle_beta 14.55
_cell_angle_gamma 14.55
_symmetry_space_group_name_H-M 'P 1'
_symmetry_Int_Tables_number 1
_symmetry_space_group_name_Hall 'P 1'
loop_
_atom_site_label
_atom_site_type_symbol
_atom_site_fract_x
_atom_site_fract_y
_atom_site_fract_z
_atom_site_occupancy
Pt1 Pt 0.000 0.000 0.000 1
C1 C 0.500 0.500 0.500 1
F1 F 0.454 0.454 0.454 1
F2 F 0.546 0.546 0.546 1
```

---

Record 10
Entry from the Alexandria database: a geometry-optimized PtCSe2F structure (PBE).

**Energy**: -4.078 eV per atom
**Uncorrected formation energy**: 0.743 eV/atom

```
data_PtCSe2F
_cell_length_a 4.476
_cell_length_b 4.476
_cell_length_c 3.997
_cell_angle_alpha 90.00
_cell_angle_beta 90.00
_cell_angle_gamma 90.00
_symmetry_space_group_name_H-M 'P 1'
_symmetry_Int_Tables_number 1
_symmetry_space_group_name_Hall 'P 1'
loop_
_atom_site_label
_atom_site_type_symbol
_atom_site_fract_x
_atom_site_fract_y
_atom_site_fract_z
_atom_site_occupancy
Pt1 Pt 0.000 0.000 0.000 1
C1 C 0.000 0.000 0.500 1
Se1 Se 0.000 0.500 0.500 1
Se2 Se 0.500 0.000 0.500 1
F1 F 0.500 0.500 0.000 1
```